The following is a DFT calculation (PBE) of an optimized crystal structure of BeZnH3.

Lattice parameters (Å, degrees): 3.306 3.306 3.306 90.00 90.00 90.00
Space group Pm-3m (No. 221)
One atom of each set of equivalent atoms:
Be 0.000 0.000 0.000
Zn 0.500 0.500 0.500
H 0.000 0.000 0.500

Summary:
**Excess energy over the best structure of this formula in the dataset**: 0.0 kJ/mol of atoms
**Total DFT energy (no corrections)**: -2.57 eV/atom
**D(E_F)**: 0.59 states/eV/cell